[1]
Entry from the Alexandria database: ErPuU2P4 after structural relaxation (PBE).

abc: 3.9331 6.7971 6.9149
angles: 109.22 90.00 90.00
With the nearest neighbours (Å) after each atom.
Atoms (fractional coordinates):
P 0.5000 0.7479 0.7464  3 U 2.78-2.79, 1 Er 2.80, 2 Pu 2.81
Er 0.5000 0.5000 0.0000  6 P 2.80-2.81
P 0.0000 0.2498 0.7456  3 U 2.77-2.78, 2 Er 2.81, 1 Pu 2.82
P 0.0000 0.7502 0.2544  3 U 2.77-2.78, 2 Er 2.81, 1 Pu 2.82
U 0.0000 0.5000 0.5000  6 P 2.77-2.78
Pu 0.0000 0.0000 0.0000  6 P 2.81-2.82
U 0.5000 0.0000 0.5000  6 P 2.78-2.79
P 0.5000 0.2521 0.2536  3 U 2.78-2.79, 1 Er 2.80, 2 Pu 2.81

Properties
Formation energy from the elements: -9.34 eV/f.u.
Spin magnetization: 0.172 μB/atom
D(E_F): 20.90 states/eV per cell

[2]
Entry from the Alexandria database: CaHfOs2 after structural relaxation (PBE).

abc: 7.4837 7.4837 5.9950
angles: 51.38 51.38 90.00
With the nearest neighbours (Å) after each atom.
Atoms (fractional coordinates):
Os 0.8750 0.8970 0.7500  2 Hf 2.63, 2 Os 2.84, 2 Ca 2.85
Ca 0.2500 0.7500 0.5000  2 Hf 2.82, 4 Os 2.85
Os 0.3750 0.3530 0.7500  2 Hf 2.63, 2 Os 2.84, 2 Ca 2.85
Hf 0.7500 0.2500 0.5000  4 Os 2.63, 2 Ca 2.82
Os 0.1030 0.6250 0.2500  2 Hf 2.63, 2 Os 2.84, 2 Ca 2.85
Hf 0.0000 0.0000 0.0000  4 Os 2.63, 2 Ca 2.82
Os 0.6470 0.1250 0.2500  2 Hf 2.63, 2 Os 2.84, 2 Ca 2.85
Ca 0.5000 0.5000 0.0000  2 Hf 2.82, 4 Os 2.85

Properties
Formation energy from the elements: 2.81 eV/f.u.
Offset from the most stable computed form: 0.760 eV/atom
Spin magnetization: 0.000 μB/atom
D(E_F): 8.28 states/eV per cell

[3]
Entry from the Alexandria database: SrCaHf2 after structural relaxation (PBE).

abc: 8.9528 8.9528 7.0379
angles: 50.50 50.50 90.00
With the nearest neighbours (Å) after each atom.
Atoms (fractional coordinates):
Hf 0.8750 0.8694 0.7500  2 Hf 3.08, 2 Ca 3.22, 2 Sr 3.29
Sr 0.7500 0.2500 0.5000  2 Ca 3.07, 4 Hf 3.29
Ca 0.5000 0.5000 0.0000  2 Sr 3.07, 4 Hf 3.22
Hf 0.1306 0.6250 0.2500  2 Hf 3.08, 2 Ca 3.22, 2 Sr 3.29
Ca 0.2500 0.7500 0.5000  2 Sr 3.07, 4 Hf 3.22
Hf 0.3750 0.3806 0.7500  2 Hf 3.08, 2 Ca 3.22, 2 Sr 3.29
Sr 0.0000 0.0000 0.0000  2 Ca 3.07, 4 Hf 3.29
Hf 0.6194 0.1250 0.2500  2 Hf 3.08, 2 Ca 3.22, 2 Sr 3.29

Properties
Formation energy from the elements: 4.38 eV/f.u.
Offset from the most stable computed form: 0.188 eV/atom
Spin magnetization: 0.002 μB/atom
D(E_F): 12.63 states/eV per cell

[4]
Entry from the Alexandria database: SrNiIr2 after structural relaxation (PBE).

abc: 4.6230 4.6230 4.6230
angles: 60.00 60.00 60.00
With the nearest neighbours (Å) after each atom.
Atoms (fractional coordinates):
Ni 0.0000 0.0000 0.0000  8 Ir 2.83
Ir 0.2500 0.2500 0.2500  4 Sr 2.83, 4 Ni 2.83
Sr 0.5000 0.5000 0.5000  8 Ir 2.83
Ir 0.7500 0.7500 0.7500  4 Sr 2.83, 4 Ni 2.83

Properties
Formation energy from the elements: 2.94 eV/f.u.
Offset from the most stable computed form: 0.536 eV/atom
Spin magnetization: 0.434 μB/atom
D(E_F): 6.26 states/eV per cell

[5]
Entry from the Alexandria database: ReMoW after structural relaxation (PBE).

abc: 4.3942 7.9690 5.4215
angles: 90.00 90.00 90.00
With the nearest neighbours (Å) after each atom.
Atoms (fractional coordinates):
Mo 0.7500 0.5810 0.1663  5 Re 2.67-2.75, 3 W 2.75-2.78
W 0.2500 0.7486 0.4906  2 W 2.71, 3 Re 2.71-2.77, 3 Mo 2.75-2.78
Re 0.7500 0.5740 0.6690  5 Mo 2.67-2.75, 3 W 2.71-2.77
Mo 0.7500 0.9190 0.6663  5 Re 2.67-2.75, 3 W 2.75-2.78
W 0.7500 0.2486 0.0094  2 W 2.71, 3 Re 2.71-2.77, 3 Mo 2.75-2.78
Mo 0.2500 0.0810 0.3337  5 Re 2.67-2.75, 3 W 2.75-2.78
Re 0.2500 0.0740 0.8310  5 Mo 2.67-2.75, 3 W 2.71-2.77
Mo 0.2500 0.4190 0.8337  5 Re 2.67-2.75, 3 W 2.75-2.78
Re 0.2500 0.4260 0.3310  5 Mo 2.67-2.75, 3 W 2.71-2.77
W 0.2500 0.7514 0.9906  2 W 2.71, 3 Re 2.71-2.77, 3 Mo 2.75-2.78
W 0.7500 0.2514 0.5094  2 W 2.71, 3 Re 2.71-2.77, 3 Mo 2.75-2.78
Re 0.7500 0.9260 0.1690  5 Mo 2.67-2.75, 3 W 2.71-2.77

Properties
Formation energy from the elements: 0.41 eV/f.u.
Offset from the most stable computed form: 0.082 eV/atom
Spin magnetization: 0.000 μB/atom
D(E_F): 8.87 states/eV per cell

[6]
Entry from the Alexandria database: SrAl2Ni after structural relaxation (PBE).

abc: 4.2189 4.2189 6.2543
angles: 70.30 70.30 60.00
With the nearest neighbours (Å) after each atom.
Atoms (fractional coordinates):
Al 0.0546 0.0546 0.8363  3 Ni 2.49, 3 Al 2.63
Al 0.4454 0.4454 0.6637  3 Ni 2.49, 3 Al 2.63
Ni 0.7500 0.7500 0.7500  6 Al 2.49
Sr 0.2500 0.2500 0.2500  8 Al 3.38-3.41, 6 Ni 3.77

Properties
Formation energy from the elements: -1.42 eV/f.u.
Spin magnetization: 0.000 μB/atom
D(E_F): 2.65 states/eV per cell

[7]
Entry from the Alexandria database: YMoN3 after structural relaxation (PBE).

abc: 4.0075 4.0075 8.4476
angles: 76.28 76.28 90.00
With the nearest neighbours (Å) after each atom.
Atoms (fractional coordinates):
N 0.2368 0.9052 0.1896  1 N 1.35
Mo 0.2500 0.7500 0.5000  4 N 2.04
Y 0.6500 0.1500 0.7000  6 N 2.34-2.56
N 0.5736 0.9052 0.1896  1 N 1.35
Mo 0.0000 0.0000 0.0000  4 N 2.01
N 0.7255 0.7255 0.5491  2 Mo 2.04
Y 0.8500 0.3500 0.3000  6 N 2.34-2.56
N 0.2745 0.2745 0.4509  2 Mo 2.04
N 0.0948 0.7632 0.8104  1 N 1.35
N 0.0948 0.4264 0.8104  1 N 1.35

Properties
Spin magnetization: 0.000 μB/atom
Formation energy from raw total energies: -2.0 eV/f.u.
D(E_F): 3.85 states/eV per cell

[8]
Entry from the Alexandria database: IrPtAuN2 after structural relaxation (PBE).

abc: 3.7741 5.5175 3.7741
angles: 90.00 90.00 90.00
With the nearest neighbours (Å) after each atom.
Atoms (fractional coordinates):
N 0.0000 0.0000 0.5000  2 Ir 1.89
Ir 0.0000 0.0000 0.0000  4 N 1.89
Au 0.0000 0.5000 0.0000  4 Pt 2.67, 2 Ir 2.76
Pt 0.5000 0.5000 0.5000  4 Au 2.67
N 0.5000 0.0000 0.0000  2 Ir 1.89

Properties
Spin magnetization: 0.000 μB/atom
Formation energy from raw total energies: 5.7 eV/f.u.
D(E_F): 2.63 states/eV per cell